[1]
# AlFeI6 | the Open Quantum Materials Database | PBE | optimized geometry
data_AlFeI6
_chemical_formula_sum 'Al4 Fe4 I24'
_symmetry_space_group_name_H-M 'F -4 3 m'
_symmetry_Int_Tables_number 216
_symmetry_space_group_name_Hall 'F -4 2 3'
_cell_length_a 10.705
_cell_length_b 10.705
_cell_length_c 10.705
_cell_angle_alpha 90.00
_cell_angle_beta 90.00
_cell_angle_gamma 90.00
loop_
_atom_site_label
_atom_site_type_symbol
_atom_site_fract_x
_atom_site_fract_y
_atom_site_fract_z
Al1 Al 0.000 0.000 0.000
Fe1 Fe 0.250 0.250 0.750
I1 I 0.003 0.250 0.750
# - E (eV per atom) = -2.556

=====

[2]
# Lu2AlInFe4 | the Open Quantum Materials Database | PBE | optimized geometry
data_Lu2AlInFe4
_chemical_formula_sum 'Lu2 Al1 In1 Fe4'
_symmetry_space_group_name_H-M 'P m m 2'
_symmetry_Int_Tables_number 25
_symmetry_space_group_name_Hall 'P 2 -2'
_cell_length_a 3.968
_cell_length_b 4.916
_cell_length_c 6.894
_cell_angle_alpha 90.00
_cell_angle_beta 90.00
_cell_angle_gamma 90.00
loop_
_atom_site_label
_atom_site_type_symbol
_atom_site_fract_x
_atom_site_fract_y
_atom_site_fract_z
Lu1 Lu 0.000 0.000 0.000
Lu2 Lu 0.000 0.500 0.400
Al1 Al 0.500 0.500 0.037
In1 In 0.500 0.000 0.345
Fe1 Fe 0.000 0.000 0.616
Fe2 Fe 0.000 0.500 0.801
Fe3 Fe 0.500 0.250 0.708
# - E (eV per atom) = -6.355

=====

[3]
# Al2FeIr | the Open Quantum Materials Database | PBE | optimized geometry
data_Al2FeIr
_chemical_formula_sum 'Al8 Fe4 Ir4'
_symmetry_space_group_name_H-M 'F -4 3 m'
_symmetry_Int_Tables_number 216
_symmetry_space_group_name_Hall 'F -4 2 3'
_cell_length_a 6.026
_cell_length_b 6.026
_cell_length_c 6.026
_cell_angle_alpha 90.00
_cell_angle_beta 90.00
_cell_angle_gamma 90.00
loop_
_atom_site_label
_atom_site_type_symbol
_atom_site_fract_x
_atom_site_fract_y
_atom_site_fract_z
Al1 Al 0.000 0.000 0.000
Al2 Al 0.250 0.250 0.250
Fe1 Fe 0.250 0.250 0.750
Ir1 Ir 0.000 0.000 0.500
# - E (eV per atom) = -6.463

=====

[4]
# Al2FeIr | the Open Quantum Materials Database | PBE | optimized geometry
data_Al2FeIr
_chemical_formula_sum 'Al8 Fe4 Ir4'
_symmetry_space_group_name_H-M 'F m -3 m'
_symmetry_Int_Tables_number 225
_symmetry_space_group_name_Hall '-F 4 2 3'
_cell_length_a 5.895
_cell_length_b 5.895
_cell_length_c 5.895
_cell_angle_alpha 90.00
_cell_angle_beta 90.00
_cell_angle_gamma 90.00
loop_
_atom_site_label
_atom_site_type_symbol
_atom_site_fract_x
_atom_site_fract_y
_atom_site_fract_z
Al1 Al 0.250 0.250 0.250
Fe1 Fe 0.000 0.000 0.000
Ir1 Ir 0.000 0.000 0.500
# - E (eV per atom) = -6.840

=====

[5]
# AlFe6Ir | the Open Quantum Materials Database | PBE | optimized geometry
data_AlFe6Ir
_chemical_formula_sum 'Al1 Fe6 Ir1'
_symmetry_space_group_name_H-M 'P 4/m m m'
_symmetry_Int_Tables_number 123
_symmetry_space_group_name_Hall '-P 4 2'
_cell_length_a 4.083
_cell_length_b 4.083
_cell_length_c 5.775
_cell_angle_alpha 90.00
_cell_angle_beta 90.00
_cell_angle_gamma 90.00
loop_
_atom_site_label
_atom_site_type_symbol
_atom_site_fract_x
_atom_site_fract_y
_atom_site_fract_z
Al1 Al 0.000 0.000 0.000
Fe1 Fe 0.000 0.000 0.500
Fe2 Fe 0.000 0.500 0.249
Fe3 Fe 0.500 0.500 0.000
Ir1 Ir 0.500 0.500 0.500
# - E (eV per atom) = -7.919

=====

[6]
# Al2FeIr | the Open Quantum Materials Database | PBE | optimized geometry
data_Al2FeIr
_chemical_formula_sum 'Al8 Fe4 Ir4'
_symmetry_space_group_name_H-M 'F m -3 m'
_symmetry_Int_Tables_number 225
_symmetry_space_group_name_Hall '-F 4 2 3'
_cell_length_a 5.895
_cell_length_b 5.895
_cell_length_c 5.895
_cell_angle_alpha 90.00
_cell_angle_beta 90.00
_cell_angle_gamma 90.00
loop_
_atom_site_label
_atom_site_type_symbol
_atom_site_fract_x
_atom_site_fract_y
_atom_site_fract_z
Al1 Al 0.250 0.250 0.250
Fe1 Fe 0.000 0.000 0.000
Ir1 Ir 0.000 0.000 0.500
# - E (eV per atom) = -6.840

=====

[7]
# LiAlFe2Ir4 | the Open Quantum Materials Database | PBE | optimized geometry
data_LiAlFe2Ir4
_chemical_formula_sum 'Li1 Al1 Fe2 Ir4'
_symmetry_space_group_name_H-M 'P 4/m m m'
_symmetry_Int_Tables_number 123
_symmetry_space_group_name_Hall '-P 4 2'
_cell_length_a 4.221
_cell_length_b 4.221
_cell_length_c 5.950
_cell_angle_alpha 90.00
_cell_angle_beta 90.00
_cell_angle_gamma 90.00
loop_
_atom_site_label
_atom_site_type_symbol
_atom_site_fract_x
_atom_site_fract_y
_atom_site_fract_z
Li1 Li 0.000 0.000 0.000
Al1 Al 0.500 0.500 0.500
Fe1 Fe 0.000 0.000 0.500
Fe2 Fe 0.500 0.500 0.000
Ir1 Ir 0.000 0.500 0.247
# - E (eV per atom) = -7.510

=====

[8]
# MgAlFeIr | the Open Quantum Materials Database | PBE | optimized geometry
data_MgAlFeIr
_chemical_formula_sum 'Mg4 Al4 Fe4 Ir4'
_symmetry_space_group_name_H-M 'F -4 3 m'
_symmetry_Int_Tables_number 216
_symmetry_space_group_name_Hall 'F -4 2 3'
_cell_length_a 6.037
_cell_length_b 6.037
_cell_length_c 6.037
_cell_angle_alpha 90.00
_cell_angle_beta 90.00
_cell_angle_gamma 90.00
loop_
_atom_site_label
_atom_site_type_symbol
_atom_site_fract_x
_atom_site_fract_y
_atom_site_fract_z
Mg1 Mg 0.000 0.000 0.000
Al1 Al 0.000 0.000 0.500
Fe1 Fe 0.250 0.250 0.750
Ir1 Ir 0.250 0.250 0.250
# - E (eV per atom) = -5.933